# 1
Entry from the Open Quantum Materials Database: a relaxed structure of GdCo3B2 (PBE).

Lattice parameters (Å, degrees): 5.028 5.028 3.008 90.00 90.00 120.00
Positions (direct):
Co 0.500 0.000 0.500
Co 0.500 0.500 0.500
Co 0.000 0.500 0.500
B 0.333 0.667 0.000
B 0.667 0.333 0.000
Gd 0.000 0.000 0.000

Computed properties:
- uncorrected energy (eV/cell) = -42.13
- crystal system = hexagonal
- SG = P6/mmm, No. 191

***

# 2
Entry from the Open Quantum Materials Database: a relaxed structure of Gd4CoB13 (PBE).

Lattice parameters (Å, degrees): 7.347 7.347 6.980 90.00 90.00 90.00
Positions (direct):
Co 0.000 0.000 0.000
Co 0.500 0.500 0.500
Gd 0.181 0.684 0.500
Gd 0.816 0.319 0.000
Gd 0.819 0.316 0.500
Gd 0.681 0.816 0.000
Gd 0.184 0.681 0.000
Gd 0.316 0.181 0.500
Gd 0.319 0.184 0.000
Gd 0.684 0.819 0.500
B 0.539 0.331 0.754
B 0.000 0.000 0.500
B 0.539 0.331 0.246
B 0.092 0.408 0.250
B 0.592 0.092 0.750
B 0.408 0.908 0.250
B 0.961 0.831 0.254
B 0.500 0.500 0.000
B 0.669 0.539 0.246
B 0.831 0.039 0.254
B 0.908 0.592 0.250
B 0.908 0.592 0.750
B 0.961 0.831 0.746
B 0.461 0.669 0.754
B 0.592 0.092 0.250
B 0.331 0.461 0.754
B 0.092 0.408 0.750
B 0.408 0.908 0.750
B 0.831 0.039 0.746
B 0.039 0.169 0.254
B 0.669 0.539 0.754
B 0.169 0.961 0.746
B 0.461 0.669 0.246
B 0.169 0.961 0.254
B 0.039 0.169 0.746
B 0.331 0.461 0.246

Computed properties:
- uncorrected energy (eV/cell) = -240.76
- crystal system = tetragonal
- SG = P4/mnc, No. 128

***

# 3
Entry from the Open Quantum Materials Database: a relaxed structure of GdCo4B4 (PBE).

Lattice parameters (Å, degrees): 5.016 5.016 7.002 90.00 90.00 90.00
Positions (direct):
Gd 0.750 0.250 0.250
Gd 0.250 0.750 0.750
B 0.925 0.750 0.410
B 0.250 0.425 0.090
B 0.250 0.075 0.090
B 0.425 0.250 0.590
B 0.075 0.250 0.590
B 0.575 0.750 0.410
B 0.750 0.575 0.910
B 0.750 0.925 0.910
Co 0.004 0.750 0.115
Co 0.250 0.504 0.385
Co 0.750 0.004 0.615
Co 0.504 0.250 0.885
Co 0.996 0.250 0.885
Co 0.250 0.996 0.385
Co 0.496 0.750 0.115
Co 0.750 0.496 0.615

Computed properties:
- uncorrected energy (eV/cell) = -128.35
- crystal system = tetragonal
- SG = P4_2/nmc, No. 137

***

# 4
Entry from the Open Quantum Materials Database: a relaxed structure of Gd2Co7B3 (PBE).

Lattice parameters (Å, degrees): 5.045 5.045 12.769 90.00 90.00 120.00
Each line ends with the local moment (μB).
Positions (direct):
Co 0.500 0.000 0.384  0.08
Co 0.500 0.500 0.155  0.66
Co 0.500 0.500 0.384  0.08
Co 0.500 0.000 0.845  0.67
Co 0.333 0.667 0.000  1.62
Co 0.000 0.500 0.616  0.08
Co 0.667 0.333 0.000  1.62
Co 0.500 0.500 0.616  0.08
Co 0.500 0.000 0.616  0.08
Co 0.000 0.500 0.384  0.08
Co 0.000 0.500 0.155  0.68
Co 0.500 0.000 0.155  0.67
Co 0.500 0.500 0.845  0.67
Co 0.000 0.500 0.845  0.67
B 0.333 0.667 0.732  -0.02
B 0.667 0.333 0.732  -0.02
B 0.667 0.333 0.500  -0.01
B 0.333 0.667 0.500  -0.01
B 0.667 0.333 0.268  -0.02
B 0.333 0.667 0.268  -0.02
Gd 0.000 0.000 0.000  -0.20
Gd 0.000 0.000 0.261  -0.11
Gd 0.000 0.000 0.739  -0.11
Gd 0.000 0.000 0.500  -0.01

Computed properties:
- uncorrected energy (eV/cell) = -167.26
- crystal system = hexagonal
- SG = P6/mmm, No. 191

***

# 5
Entry from the Open Quantum Materials Database: a relaxed structure of Gd2HoCo2B2N3 (PBE).

Lattice parameters (Å, degrees): 10.212 10.212 10.212 160.30 160.30 28.00
Positions (direct):
B 0.194 0.194 0.000
B 0.806 0.806 0.000
N 0.500 0.500 0.000
N 0.118 0.118 0.000
N 0.882 0.882 0.000
Gd 0.376 0.376 0.000
Gd 0.624 0.624 0.000
Co 0.750 0.250 0.500
Co 0.250 0.750 0.500
Ho 0.000 0.000 0.000

Computed properties:
- uncorrected energy (eV/cell) = -78.44
- crystal system = tetragonal
- SG = I4/mmm, No. 139